Record 1
First-principles (PBE-GGA) data for a relaxed ZnCu6Si2 crystal, as listed in Alexandria via LeMat-Bulk.

- Formation energy without anion corrections: 0.8 eV per formula unit

POSCAR file:
```
ZnCu6Si2
1.0
-1.621 5.071 2.007
-4.472 -2.456 2.593
3.372 1.347 7.090
Zn Cu Si
2 12 4
Direct
0.500 0.500 0.000
0.000 0.000 0.500
0.831 0.963 0.239
0.787 0.583 0.540
0.934 0.701 0.971
0.566 0.201 0.529
0.713 0.083 0.960
0.669 0.463 0.261
0.169 0.037 0.761
0.213 0.417 0.460
0.066 0.299 0.029
0.434 0.799 0.471
0.287 0.917 0.040
0.331 0.537 0.739
0.924 0.393 0.763
0.576 0.893 0.737
0.424 0.107 0.263
0.076 0.607 0.237
```



Record 2
First-principles (PBE-GGA) data for a relaxed LiTe2 crystal, as listed in Alexandria via LeMat-Bulk.

- Formation energy without anion corrections: -1.1 eV per formula unit

POSCAR file:
```
LiTe2
1.0
-8.427 -1.332 0.884
8.113 0.039 2.783
-0.595 4.873 1.668
Li Te
2 4
Direct
0.115 0.885 0.250
0.885 0.115 0.750
0.466 0.534 0.250
0.534 0.466 0.750
0.749 0.251 0.250
0.251 0.749 0.750
```



Record 3
First-principles (PBE-GGA) data for a relaxed MnBeCoBr2 crystal, as listed in Alexandria via LeMat-Bulk.

- Formation energy without anion corrections: 4.0 eV per formula unit

POSCAR file:
```
MnBeCoBr2
1.0
-0.987 4.148 2.099
-0.232 -1.965 3.774
4.642 0.760 0.681
Be Mn Co Br
1 1 1 2
Direct
0.000 0.000 0.000
0.500 0.500 0.500
0.000 0.500 0.000
0.000 0.000 0.500
0.500 0.000 0.000
```



Record 4
First-principles (PBE-GGA) data for a relaxed Sc4PtPb crystal, as listed in Alexandria via LeMat-Bulk.

- E: -5.79 eV/atom

POSCAR file:
```
Sc4PtPb
1.0
1.179 2.958 4.744
2.582 5.084 -0.371
-2.907 4.774 1.187
Sc Pt Pb
4 1 1
Direct
0.876 0.375 0.375
0.375 0.375 0.876
0.375 0.876 0.375
0.375 0.375 0.375
0.000 0.000 0.000
0.750 0.750 0.750
```



Record 5
First-principles (PBE-GGA) data for a relaxed NdY3InGa crystal, as listed in Alexandria via LeMat-Bulk.

- E: -5.30 eV/atom

POSCAR file:
```
NdY3InGa
1.0
8.304 0.548 -2.423
4.375 7.079 -2.423
0.108 0.065 6.170
Nd Y In Ga
2 6 2 2
Direct
0.308 0.692 0.500
0.692 0.308 0.500
0.173 0.173 0.616
0.128 0.614 0.910
0.614 0.128 0.910
0.386 0.872 0.090
0.872 0.386 0.090
0.827 0.827 0.384
0.698 0.698 0.711
0.302 0.302 0.289
0.999 0.999 0.786
0.001 0.001 0.214
```



Record 6
First-principles (PBE-GGA) data for a relaxed NaSn2Br crystal, as listed in Alexandria via LeMat-Bulk.

- Formation energy without anion corrections: -0.5 eV per formula unit

POSCAR file:
```
NaSn2Br
1.0
10.896 0.000 0.000
0.000 10.896 0.000
5.448 5.448 2.590
Na Sn Br
2 4 2
Direct
0.500 0.500 0.000
0.250 0.750 0.500
0.692 0.125 0.250
0.058 0.625 0.250
0.375 0.308 0.750
0.875 0.942 0.750
0.000 0.000 0.000
0.750 0.250 0.500
```